The following is a GGA+U calculation of CsMnBiF6 after structural relaxation, from Alexandria via LeMat-Bulk.

As for the density of states at the Fermi level: 0.00 states/eV per cell. The total energy is -5.202 eV/atom. For the total magnetization, the calculation gives 20.00 μB per cell.

It has space group Imma (No. 74), with a = 7.6686 Å, b = 8.0807 Å, c = 10.8788 Å, α = 90.00°, β = 90.00° and γ = 90.00°. The inequivalent atoms are Cs at (0.0000, 0.2500, 0.0976), Mn at (0.2500, 0.2500, 0.7500), Bi at (0.0000, 0.0000, 0.5000), F at (0.0000, 0.2500, 0.3954), F at (0.0000, 0.2500, 0.6725) and F at (0.2458, 0.0543, 0.8846).